# Tl4Cd2Hg3

A relaxed Tl4Cd2Hg3 crystal (PBE-GGA, Alexandria).

Unit cell a=5.5038 b=9.9614 c=9.9614 alpha=70.84 beta=81.13 gamma=81.13
With the nearest neighbours (Å) after each atom.
Fractional positions:
Cd  0.1788  0.7303  0.4619  1 Cd 3.07, 4 Hg 3.07-3.29, 4 Tl 3.27-3.35
Hg  0.4362  0.3203  0.0362  1 Cd 3.09, 6 Tl 3.22-3.40
Cd  0.6788  0.4619  0.7303  1 Cd 3.07, 4 Hg 3.07-3.29, 4 Tl 3.27-3.35
Hg  0.9362  0.0362  0.3203  1 Cd 3.09, 6 Tl 3.22-3.40
Tl  0.4855  0.9518  0.1860  4 Hg 3.22-3.48, 1 Cd 3.32, 3 Tl 3.32-3.54
Tl  0.6068  0.8172  0.6020  5 Hg 3.22-3.40, 3 Cd 3.27-3.35, 1 Tl 3.54
Tl  0.0145  0.8140  0.0482  4 Hg 3.22-3.48, 1 Cd 3.32, 3 Tl 3.32-3.54
Tl  0.8932  0.3980  0.1828  5 Hg 3.22-3.40, 3 Cd 3.27-3.35, 1 Tl 3.54
Tl  0.5145  0.0482  0.8140  4 Hg 3.22-3.48, 1 Cd 3.32, 3 Tl 3.32-3.54
Cd  0.3212  0.5381  0.2697  1 Cd 3.07, 4 Hg 3.07-3.29, 4 Tl 3.27-3.35
Tl  0.9855  0.1860  0.9518  4 Hg 3.22-3.48, 1 Cd 3.32, 3 Tl 3.32-3.54
Tl  0.1068  0.6020  0.8172  5 Hg 3.22-3.40, 3 Cd 3.27-3.35, 1 Tl 3.54
Cd  0.8212  0.2697  0.5381  1 Cd 3.07, 4 Hg 3.07-3.29, 4 Tl 3.27-3.35
Tl  0.3932  0.1828  0.3980  5 Hg 3.22-3.40, 3 Cd 3.27-3.35, 1 Tl 3.54
Hg  0.2500  0.3822  0.6178  6 Cd 3.07-3.29, 2 Tl 3.35
Hg  0.7500  0.6178  0.3822  6 Cd 3.07-3.29, 2 Tl 3.35
Hg  0.0638  0.9638  0.6797  1 Cd 3.09, 6 Tl 3.22-3.40
Hg  0.5638  0.6797  0.9638  1 Cd 3.09, 6 Tl 3.22-3.40

Properties
Crystal system ... monoclinic
Energy of formation from the pure elements ... 0.02 eV/atom
Symmetry ... C2/c
ρ ... 10.8 g/cm3


# SrCr2Bi

A relaxed SrCr2Bi crystal (PBE-GGA, Alexandria).

Unit cell a=4.8155 b=4.8155 c=10.3771 alpha=76.58 beta=76.58 gamma=90.00
With the nearest neighbours (Å) after each atom.
Fractional positions:
Cr  0.8750  0.1120  0.7500  2 Cr 2.41
Sr  0.5000  0.5000  0.0000  4 Bi 3.41, 8 Cr 3.60-3.68
Bi  0.7500  0.2500  0.5000  4 Cr 2.73
Cr  0.8620  0.1250  0.2500  2 Cr 2.41
Cr  0.3750  0.1380  0.7500  2 Cr 2.41
Sr  0.2500  0.7500  0.5000  4 Bi 3.41, 8 Cr 3.60-3.68
Bi  0.0000  0.0000  0.0000  4 Cr 2.73
Cr  0.8880  0.6250  0.2500  2 Cr 2.41

Properties
Crystal system ... tetragonal
Energy of formation from the pure elements ... 0.73 eV/atom
Symmetry ... I-42d
ρ ... 5.9 g/cm3


# LaReHgO6

A relaxed LaReHgO6 crystal (PBE-GGA, Alexandria).

Unit cell a=5.9843 b=5.9526 c=5.3393 alpha=109.20 beta=99.32 gamma=60.36
With the nearest neighbours (Å) after each atom.
Fractional positions:
O  0.0399  0.6541  0.7173  1 Hg 2.03, 1 Re 2.12
O  0.0405  0.3036  0.2833  1 Hg 2.03, 1 Re 2.12
O  0.5827  0.4135  0.7295  1 Re 1.81
Re  0.3651  0.3178  0.5007  4 O 1.81-1.85
O  0.3365  0.5405  0.3095  1 Re 1.85
Hg  0.0541  0.9719  0.0005  2 O 2.03
O  0.5843  0.0062  0.2716  1 Re 1.81
O  0.3374  0.1221  0.6903  1 Re 1.85
La  0.6594  0.6704  0.4973  6 O 2.36-2.49

Properties
Crystal system ... triclinic
Raw formation energy ... -1.79 eV/atom
Symmetry ... P1
ρ ... 6.6 g/cm3


# SrGeAs

A relaxed SrGeAs crystal (PBE-GGA, Alexandria).

Unit cell a=7.2461 b=7.2461 c=8.2119 alpha=107.98 beta=107.98 gamma=107.48
With the nearest neighbours (Å) after each atom.
Fractional positions:
As  0.7338  0.7338  0.0000  2 Ge 2.58
As  0.9838  0.4838  0.5000  2 Ge 2.58
Ge  0.1250  0.3750  0.2500  2 As 2.58
Sr  0.6756  0.6756  0.3512  4 As 3.11-3.17, 2 Ge 3.33
Ge  0.1250  0.8750  0.2500  2 As 2.58
Sr  0.3244  0.3244  0.6488  4 As 3.11-3.17, 2 Ge 3.33
Sr  0.5744  0.0744  0.1488  4 As 3.11-3.17, 2 Ge 3.33
Ge  0.6250  0.8750  0.7500  2 As 2.58
As  0.2662  0.2662  0.0000  2 Ge 2.58
As  0.5162  0.0162  0.5000  2 Ge 2.58
Ge  0.1250  0.8750  0.7500  2 As 2.58
Sr  0.9256  0.4256  0.8512  4 As 3.11-3.17, 2 Ge 3.33

Properties
Crystal system ... orthorhombic
Energy of formation from the pure elements ... -0.31 eV/atom
Symmetry ... Fddd
ρ ... 4.5 g/cm3


# Hf3AlZn2

A relaxed Hf3AlZn2 crystal (PBE-GGA, Alexandria).

Unit cell a=3.0157 b=3.0157 c=12.0839 alpha=90.00 beta=90.00 gamma=90.00
With the nearest neighbours (Å) after each atom.
Fractional positions:
Al  0.5000  0.5000  0.5000  8 Hf 2.96, 4 Al 3.02
Zn  0.5000  0.5000  0.8361  8 Hf 2.91-2.93, 4 Zn 3.02
Hf  0.0000  0.0000  0.3300  4 Zn 2.93, 4 Al 2.96, 4 Hf 3.02
Zn  0.5000  0.5000  0.1639  8 Hf 2.91-2.93, 4 Zn 3.02
Hf  0.0000  0.0000  0.6700  4 Zn 2.93, 4 Al 2.96, 4 Hf 3.02
Hf  0.0000  0.0000  0.0000  8 Zn 2.91, 4 Hf 3.02

Properties
Crystal system ... tetragonal
Energy of formation from the pure elements ... -0.23 eV/atom
Symmetry ... P4/mmm
ρ ... 10.5 g/cm3


# KSr2

A relaxed KSr2 crystal (PBE-GGA, Alexandria).

Unit cell a=21.4944 b=21.4944 c=21.4944 alpha=168.98 beta=168.98 gamma=15.60
With the nearest neighbours (Å) after each atom.
Fractional positions:
K  0.5000  0.5000  0.0000  4 K 4.13, 8 Sr 4.58
Sr  0.8330  0.3330  0.5000  6 Sr 4.13, 4 K 4.58
Sr  0.0830  0.0830  0.0000  6 Sr 4.13, 4 K 4.58
Sr  0.9170  0.9170  0.0000  6 Sr 4.13, 4 K 4.58
K  0.2500  0.7500  0.5000  4 K 4.13, 8 Sr 4.58
Sr  0.6670  0.1670  0.5000  6 Sr 4.13, 4 K 4.58

Properties
Crystal system ... tetragonal
Energy of formation from the pure elements ... 0.18 eV/atom
Symmetry ... I4_1/amd
ρ ... 2.0 g/cm3


# TmTh3Sc4

A relaxed TmTh3Sc4 crystal (PBE-GGA, Alexandria).

Unit cell a=3.7141 b=5.4847 c=10.9746 alpha=90.00 beta=90.00 gamma=90.00
With the nearest neighbours (Å) after each atom.
Fractional positions:
Th  0.5000  0.0000  0.7539  8 Sc 3.28-3.35
Sc  0.0000  0.5000  0.7476  6 Th 3.29-3.31, 2 Tm 3.34
Th  0.5000  0.0000  0.2461  8 Sc 3.28-3.35
Sc  0.0000  0.0000  0.5000  8 Th 3.31-3.35
Tm  0.5000  0.5000  0.0000  8 Sc 3.31-3.34
Th  0.5000  0.5000  0.5000  8 Sc 3.29-3.31
Sc  0.0000  0.0000  0.0000  4 Th 3.28, 4 Tm 3.31
Sc  0.0000  0.5000  0.2524  6 Th 3.29-3.31, 2 Tm 3.34

Properties
Crystal system ... orthorhombic
Energy of formation from the pure elements ... 0.05 eV/atom
Symmetry ... Pmmm
ρ ... 7.8 g/cm3


# In2WBrCl

A relaxed In2WBrCl crystal (PBE-GGA, Alexandria).

Unit cell a=5.7273 b=4.7804 c=5.7273 alpha=90.00 beta=90.00 gamma=90.00
With the nearest neighbours (Å) after each atom.
Fractional positions:
Br  0.0000  0.5000  0.0000  2 W 2.39
In  0.5000  0.0000  0.0000  2 W 2.86
In  0.0000  0.0000  0.5000  2 W 2.86
Cl  0.5000  0.5000  0.5000  8 In 3.73, 4 Br 4.05
W  0.0000  0.0000  0.0000  2 Br 2.39

Properties
Crystal system ... tetragonal
Raw formation energy ... 0.28 eV/atom
Symmetry ... P4/mmm
ρ ... 5.6 g/cm3


# Ca3Se

A relaxed Ca3Se crystal (PBE-GGA, Alexandria).

Unit cell a=6.7304 b=6.7304 c=6.7304 alpha=139.75 beta=139.75 gamma=58.23
With the nearest neighbours (Å) after each atom.
Fractional positions:
Ca  0.5000  0.5000  0.0000  4 Se 3.28
Ca  0.7500  0.2500  0.5000  4 Ca 3.28
Ca  0.2500  0.7500  0.5000  4 Ca 3.28
Se  0.0000  0.0000  0.0000  4 Ca 3.28

Properties
Crystal system ... tetragonal
Raw formation energy ... -0.57 eV/atom
Symmetry ... I4/mmm
ρ ... 2.6 g/cm3


# UFeOs

A relaxed UFeOs crystal (PBE-GGA, Alexandria).

Unit cell a=3.7976 b=3.5973 c=7.7350 alpha=90.00 beta=90.00 gamma=90.00
With the nearest neighbours (Å) after each atom.
Fractional positions:
Os  0.5000  0.3393  0.2500  4 Fe 2.52-2.72, 4 U 2.77
U  0.0000  0.5000  0.0000  2 Fe 2.37
Fe  0.0000  0.1196  0.7500  2 U 2.37, 2 Os 2.52
U  0.0000  0.5000  0.5000  2 Fe 2.37
Os  0.5000  0.6607  0.7500  4 Fe 2.52-2.72, 4 U 2.77
Fe  0.0000  0.8804  0.2500  2 U 2.37, 2 Os 2.52

Properties
Crystal system ... orthorhombic
Energy of formation from the pure elements ... 0.26 eV/atom
Symmetry ... Pmma
ρ ... 15.2 g/cm3


# TaBi2N

A relaxed TaBi2N crystal (PBE-GGA, Alexandria).

Unit cell a=6.5908 b=6.5908 c=6.3299 alpha=58.63 beta=58.63 gamma=90.00
With the nearest neighbours (Å) after each atom.
Fractional positions:
Bi  0.5582  0.1250  0.2500  2 N 2.31
Ta  0.7500  0.2500  0.5000  4 Bi 2.87
N  0.2500  0.7500  0.5000  4 Bi 2.31
Ta  0.0000  0.0000  0.0000  4 Bi 2.87
Bi  0.8750  0.8082  0.7500  2 N 2.31
Bi  0.3750  0.4418  0.7500  2 N 2.31
N  0.5000  0.5000  0.0000  4 Bi 2.31
Bi  0.1918  0.6250  0.2500  2 N 2.31

Properties
Crystal system ... tetragonal
Raw formation energy ... 1.23 eV/atom
Symmetry ... I-42d
ρ ... 10.9 g/cm3


# Na2H6RuAu

A relaxed Na2H6RuAu crystal (PBE-GGA, Alexandria).

Unit cell a=5.1698 b=5.1698 c=5.1519 alpha=59.68 beta=59.68 gamma=90.50
With the nearest neighbours (Å) after each atom.
Fractional positions:
Au  0.5000  0.5000  0.0000  6 H 1.84-1.91
H  0.2339  0.2340  0.0148  1 Ru 1.76, 1 Au 1.88
H  0.7650  0.7651  0.4889  1 Ru 1.76, 1 Au 1.84
Na  0.7480  0.2520  0.5000  12 H 2.54-2.62
Na  0.2520  0.7480  0.5000  12 H 2.54-2.62
H  0.2396  0.7604  0.0000  1 Ru 1.76, 1 Au 1.91
H  0.7604  0.2396  0.0000  1 Ru 1.76, 1 Au 1.91
Ru  0.0000  0.0000  0.0000  6 H 1.76
H  0.7661  0.7660  0.9852  1 Ru 1.76, 1 Au 1.88
H  0.2350  0.2349  0.5111  1 Ru 1.76, 1 Au 1.84

Properties
Crystal system ... monoclinic
Symmetry ... C2/m
Energy ... -35.7 eV for the cell shown
ρ ... 6.1 g/cm3